No. 1
# FeC | the Alexandria database | PBE | optimized geometry
# ρ: 5.51 g/cm3
# spin magnetization: 0.002 Bohr magnetons per cell
# energy relative to the elements: 0.646 eV/atom
data_FeC
_symmetry_space_group_name_H-M 'P 42/m n m'
_symmetry_Int_Tables_number 136
_symmetry_space_group_name_Hall '-P 4n 2n'
_cell_length_a 5.1303
_cell_length_b 5.1303
_cell_length_c 3.1081
_cell_angle_alpha 90.00
_cell_angle_beta 90.00
_cell_angle_gamma 90.00
loop_
_atom_site_label
_atom_site_fract_x
_atom_site_fract_y
_atom_site_fract_z
Fe1 0.1745 0.1745 0.0000
C1 0.1874 0.8126 0.0000

---

No. 2
# FeC2 | the Alexandria database | PBE | optimized geometry
# ρ: 5.44 g/cm3
# spin magnetization: 0.927 Bohr magnetons per cell
# energy relative to the elements: 0.826 eV/atom
data_FeC2
_symmetry_space_group_name_H-M 'C m c m'
_symmetry_Int_Tables_number 63
_symmetry_space_group_name_Hall '-C 2c 2'
_cell_length_a 2.5432
_cell_length_b 11.9949
_cell_length_c 3.1995
_cell_angle_alpha 90.00
_cell_angle_beta 90.00
_cell_angle_gamma 90.00
loop_
_atom_site_label
_atom_site_fract_x
_atom_site_fract_y
_atom_site_fract_z
Fe1 0.0000 0.1937 0.2500
C1 0.0000 0.0784 0.7500
C2 0.0000 0.3666 0.2500

---

No. 3
# Fe2C | the Alexandria database | PBE | optimized geometry
# ρ: 7.27 g/cm3
# spin magnetization: 8.344 Bohr magnetons per cell
# energy relative to the elements: 0.156 eV/atom
data_Fe2C
_symmetry_space_group_name_H-M 'R -3 m'
_symmetry_Int_Tables_number 166
_symmetry_space_group_name_Hall '-R 3 2"'
_cell_length_a 2.7966
_cell_length_b 2.7966
_cell_length_c 12.5144
_cell_angle_alpha 90.00
_cell_angle_beta 90.00
_cell_angle_gamma 120.00
loop_
_atom_site_label
_atom_site_fract_x
_atom_site_fract_y
_atom_site_fract_z
Fe1 0.0000 0.0000 0.2500
C1 0.0000 0.0000 0.0000

---

No. 4
# FeC | the Alexandria database | PBE | optimized geometry
# ρ: 7.45 g/cm3
# spin magnetization: 0.000 Bohr magnetons per cell
# energy relative to the elements: 0.934 eV/atom
data_FeC
_symmetry_space_group_name_H-M 'C m m m'
_symmetry_Int_Tables_number 65
_symmetry_space_group_name_Hall '-C 2 2'
_cell_length_a 3.2625
_cell_length_b 3.7461
_cell_length_c 2.4761
_cell_angle_alpha 90.00
_cell_angle_beta 90.00
_cell_angle_gamma 90.00
loop_
_atom_site_label
_atom_site_fract_x
_atom_site_fract_y
_atom_site_fract_z
Fe1 0.0000 0.0000 0.0000
C1 0.0000 0.5000 0.5000